{"formula": "SiAs2Ir", "functional": "PBE", "state": "optimized geometry", "dos_ef_per_ev_cell": 1.45, "e_form_raw_ev_per_fu": 1.025, "spacegroup": "No. 35", "lattice": [[1.4367, -2.5031, 0.0000], [1.4367, 2.5031, 0.0000], [0.0000, 0.0000, 9.5461]], "species": ["Si", "As", "As", "Ir"], "frac_coords": [[0.0000, 0.0000, 0.0000], [0.0000, 0.0000, 0.5625], [0.5000, 0.5000, 0.2392], [0.5000, 0.5000, 0.7923]]}


{"formula": "SiAsIr", "functional": "PBE", "state": "optimized geometry", "dos_ef_per_ev_cell": 0.04, "polymorph_energy_kj_per_mol_atoms": 0.0, "e_form_raw_ev_per_fu": -1.155, "spacegroup": "No. 14", "lattice": [[5.9178, 0.0000, 0.0000], [0.0000, 5.4796, 0.0000], [-1.1991, 0.0000, 6.6977]], "species": ["Si", "Si", "Si", "Si", "As", "As", "As", "As", "Ir", "Ir", "Ir", "Ir"], "frac_coords": [[0.0922, 0.1797, 0.1430], [0.0922, 0.3203, 0.6430], [0.9078, 0.6797, 0.3570], [0.9078, 0.8203, 0.8570], [0.4227, 0.6653, 0.0953], [0.4227, 0.8347, 0.5953], [0.5773, 0.1653, 0.4047], [0.5773, 0.3347, 0.9047], [0.2677, 0.0180, 0.8785], [0.2677, 0.4820, 0.3785], [0.7323, 0.5180, 0.6215], [0.7323, 0.9820, 0.1215]]}


{"formula": "SiAsIr2", "functional": "PBE", "state": "optimized geometry", "dos_ef_per_ev_cell": 2.98, "polymorph_energy_kj_per_mol_atoms": 42.0, "e_form_raw_ev_per_fu": 0.806, "spacegroup": "No. 47", "lattice": [[2.8300, 0.0000, 0.0000], [0.0000, 4.2384, 0.0000], [0.0000, 0.0000, 5.0534]], "species": ["Si", "As", "Ir", "Ir"], "frac_coords": [[0.0000, 0.0000, 0.0000], [0.5000, 0.0000, 0.5000], [0.0000, 0.5000, 0.5000], [0.5000, 0.5000, 0.0000]]}


{"formula": "SiAs2Ir", "functional": "PBE", "state": "optimized geometry", "dos_ef_per_ev_cell": 1.58, "e_form_raw_ev_per_fu": 0.327, "spacegroup": "No. 160", "lattice": [[1.5432, 0.8910, 8.9498], [-1.5432, 0.8910, 8.9498], [0.0000, -1.7820, 8.9498]], "species": ["Si", "As", "As", "Ir"], "frac_coords": [[0.0000, 0.0000, 0.0000], [0.5305, 0.5305, 0.5305], [0.7349, 0.7349, 0.7349], [0.2641, 0.2641, 0.2641]]}


{"formula": "SiAs2Ir", "functional": "PBE", "state": "optimized geometry", "dos_ef_per_ev_cell": 2.11, "e_form_raw_ev_per_fu": 0.367, "spacegroup": "No. 25", "lattice": [[2.9156, 0.0000, 0.0000], [0.0000, 3.4175, 0.0000], [0.0000, 0.0000, 6.9898]], "species": ["Si", "As", "As", "Ir"], "frac_coords": [[0.0000, 0.0000, 0.0000], [0.0000, 0.0000, 0.5926], [0.5000, 0.5000, 0.2072], [0.5000, 0.5000, 0.8194]]}


{"formula": "SiAsIr2", "functional": "PBE", "state": "optimized geometry", "dos_ef_per_ev_cell": 4.02, "polymorph_energy_kj_per_mol_atoms": 64.8, "e_form_raw_ev_per_fu": 1.748, "spacegroup": "No. 216", "lattice": [[0.0000, 3.1279, 3.1279], [3.1279, 0.0000, 3.1279], [3.1279, 3.1279, 0.0000]], "species": ["Si", "As", "Ir", "Ir"], "frac_coords": [[0.0000, 0.0000, 0.0000], [0.2500, 0.2500, 0.2500], [0.5000, 0.5000, 0.5000], [0.7500, 0.7500, 0.7500]]}


{"formula": "SiAsIr4", "functional": "PBE", "state": "optimized geometry", "dos_ef_per_ev_cell": 9.69, "e_form_raw_ev_per_fu": 4.022, "spacegroup": "No. 216", "lattice": [[0.0000, 3.6905, 3.6905], [3.6905, 0.0000, 3.6905], [3.6905, 3.6905, 0.0000]], "species": ["Si", "As", "Ir", "Ir", "Ir", "Ir"], "frac_coords": [[0.0000, 0.0000, 0.0000], [0.7500, 0.7500, 0.7500], [0.3749, 0.3749, 0.3749], [0.3749, 0.3749, 0.8753], [0.3749, 0.8753, 0.3749], [0.8753, 0.3749, 0.3749]]}


{"formula": "SiAs3Ir", "functional": "PBE", "state": "optimized geometry", "dos_ef_per_ev_cell": 6.06, "polymorph_energy_kj_per_mol_atoms": 0.0, "e_form_raw_ev_per_fu": 4.338, "spacegroup": "No. 221", "lattice": [[4.8463, 0.0000, 0.0000], [0.0000, 4.8463, 0.0000], [0.0000, 0.0000, 4.8463]], "species": ["Si", "As", "As", "As", "Ir"], "frac_coords": [[0.0000, 0.0000, 0.0000], [0.0000, 0.5000, 0.5000], [0.5000, 0.0000, 0.5000], [0.5000, 0.5000, 0.0000], [0.5000, 0.5000, 0.5000]]}


{"formula": "SiAsIr2", "functional": "PBE", "state": "optimized geometry", "dos_ef_per_ev_cell": 1.66, "polymorph_energy_kj_per_mol_atoms": 31.7, "e_form_raw_ev_per_fu": 0.378, "spacegroup": "No. 119", "lattice": [[-1.8143, 1.8143, 4.5036], [1.8143, -1.8143, 4.5036], [1.8143, 1.8143, -4.5036]], "species": ["Si", "As", "Ir", "Ir"], "frac_coords": [[0.0000, 0.0000, 0.0000], [0.2500, 0.7500, 0.5000], [0.5000, 0.5000, 0.0000], [0.7500, 0.2500, 0.5000]]}


{"formula": "SiAsIr2", "functional": "PBE", "state": "optimized geometry", "dos_ef_per_ev_cell": 2.49, "polymorph_energy_kj_per_mol_atoms": 44.6, "e_form_raw_ev_per_fu": 0.914, "spacegroup": "No. 35", "lattice": [[1.3927, -2.4264, 0.0000], [1.3927, 2.4264, 0.0000], [0.0000, 0.0000, 9.7928]], "species": ["Si", "As", "Ir", "Ir"], "frac_coords": [[0.0000, 0.0000, 0.0000], [0.5000, 0.5000, 0.3312], [0.0000, 0.0000, 0.5495], [0.5000, 0.5000, 0.7957]]}


{"formula": "SiAs2Ir", "functional": "PBE", "state": "optimized geometry", "dos_ef_per_ev_cell": 2.08, "e_form_raw_ev_per_fu": 1.622, "spacegroup": "No. 47", "lattice": [[2.8303, 0.0000, 0.0000], [0.0000, 4.6997, 0.0000], [0.0000, 0.0000, 4.8582]], "species": ["Si", "As", "As", "Ir"], "frac_coords": [[0.0000, 0.0000, 0.0000], [0.0000, 0.5000, 0.5000], [0.5000, 0.0000, 0.5000], [0.5000, 0.5000, 0.0000]]}


{"formula": "SiAsIr", "functional": "PBE", "state": "optimized geometry", "dos_ef_per_ev_cell": 2.14, "polymorph_energy_kj_per_mol_atoms": 34.9, "e_form_raw_ev_per_fu": -0.071, "spacegroup": "No. 156", "lattice": [[3.2234, 0.0000, 0.0000], [-1.6117, 2.7916, 0.0000], [0.0000, 0.0000, 5.3262]], "species": ["Si", "As", "Ir"], "frac_coords": [[0.0000, 0.0000, 0.0000], [0.6667, 0.3333, 0.3565], [0.3333, 0.6667, 0.7038]]}